(1)
A plane-wave DFT calculation with PBE was carried out for an optimized crystal structure of Sm4In12Pd.

a b c (Å): 8.198 8.198 8.198
angles (deg): 109.47 109.47 109.47
Fractional coordinates of all 17 atoms:
In (0.250, 0.750, 0.500)
In (0.750, 0.250, 0.500)
In (0.285, 0.000, 0.285)
In (0.500, 0.750, 0.250)
In (0.000, 0.285, 0.285)
In (0.000, 0.715, 0.715)
In (0.250, 0.500, 0.750)
In (0.750, 0.500, 0.250)
In (0.285, 0.285, 0.000)
In (0.715, 0.000, 0.715)
In (0.715, 0.715, 0.000)
In (0.500, 0.250, 0.750)
Sm (0.500, 0.000, 0.000)
Sm (0.000, 0.000, 0.500)
Sm (0.500, 0.500, 0.500)
Sm (0.000, 0.500, 0.000)
Pd (0.000, 0.000, 0.000)

Results
DFT formation energy   -45 kJ per mole of atoms
Crystal system   cubic
SG   Im-3m (229)

(2)
A plane-wave DFT calculation with PBE was carried out for an optimized crystal structure of LiNbIr.

a b c (Å): 6.050 4.498 6.064
angles (deg): 70.39 60.07 47.73
Fractional coordinates of all 6 atoms:
Li (0.834, 0.332, 0.000)
Li (0.166, 0.668, 0.000)
Nb (0.750, 0.500, 0.500)
Nb (0.250, 0.500, 0.500)
Ir (0.375, 0.000, 0.250)
Ir (0.625, 0.000, 0.750)

Results
DFT formation energy   -20 kJ per mole of atoms
Crystal system   orthorhombic
SG   Fmmm (69)
Energy relative to the lowest polymorph listed for this composition   75 meV per atom

(3)
A plane-wave DFT calculation with PBE was carried out for an optimized crystal structure of CaTcP2N6.

a b c (Å): 5.438 7.001 7.001
angles (deg): 88.77 75.31 75.31
Last column: magnetic moment on the atom in μB.
Fractional coordinates of all 20 atoms:
N (0.895, 0.391, 0.800)  -0.02
N (0.213, 0.982, 0.759)  0.04
N (0.605, 0.200, 0.609)  -0.02
N (0.287, 0.241, 0.018)  0.04
N (0.688, 0.713, 0.616)  0.00
N (0.188, 0.616, 0.713)  0.00
N (0.787, 0.018, 0.241)  0.04
N (0.312, 0.287, 0.384)  0.00
N (0.395, 0.800, 0.391)  -0.02
N (0.812, 0.384, 0.287)  0.00
N (0.105, 0.609, 0.200)  -0.02
N (0.713, 0.759, 0.982)  0.04
Tc (0.750, 0.748, 0.252)  0.77
Tc (0.250, 0.252, 0.748)  0.77
P (0.134, 0.371, 0.226)  0.01
P (0.366, 0.774, 0.629)  0.01
P (0.866, 0.629, 0.774)  0.01
P (0.634, 0.226, 0.371)  0.01
Ca (0.750, 0.103, 0.897)  0.01
Ca (0.250, 0.897, 0.103)  0.01

Results
Crystal system   monoclinic
Raw formation energy   -0.30 eV per atom
SG   C2/c (15)

(4)
A plane-wave DFT calculation with PBE was carried out for an optimized crystal structure of SeS.

a b c (Å): 5.538 20.581 12.546
angles (deg): 90.00 90.00 90.00
Fractional coordinates of all 32 atoms:
S (0.250, 0.750, 0.095)
S (0.500, 0.500, 0.845)
S (0.750, 0.750, 0.595)
S (0.000, 0.000, 0.155)
S (0.750, 0.250, 0.405)
S (0.000, 0.500, 0.655)
S (0.000, 0.000, 0.845)
S (0.250, 0.250, 0.905)
S (0.750, 0.250, 0.095)
S (0.500, 0.000, 0.655)
S (0.250, 0.750, 0.405)
S (0.750, 0.750, 0.905)
S (0.500, 0.500, 0.155)
S (0.500, 0.000, 0.345)
S (0.000, 0.500, 0.345)
S (0.250, 0.250, 0.595)
Se (0.000, 0.311, 0.500)
Se (0.000, 0.189, 0.000)
Se (0.250, 0.561, 0.250)
Se (0.000, 0.811, 0.000)
Se (0.750, 0.561, 0.750)
Se (0.500, 0.689, 0.000)
Se (0.750, 0.939, 0.750)
Se (0.750, 0.061, 0.250)
Se (0.750, 0.439, 0.250)
Se (0.250, 0.061, 0.750)
Se (0.000, 0.689, 0.500)
Se (0.500, 0.189, 0.500)
Se (0.250, 0.939, 0.250)
Se (0.250, 0.439, 0.750)
Se (0.500, 0.311, 0.000)
Se (0.500, 0.811, 0.500)

Results
Crystal system   orthorhombic
Raw formation energy   0.07 eV per atom
SG   Fddd (70)
Energy relative to the lowest polymorph listed for this composition   25 meV per atom

(5)
A plane-wave DFT calculation with PBE was carried out for an optimized crystal structure of CrCo2PdPb.

a b c (Å): 4.587 5.031 4.587
angles (deg): 90.00 90.00 90.00
Last column: magnetic moment on the atom in μB.
Fractional coordinates of all 5 atoms:
Co (0.500, 0.000, 0.000)  1.60
Co (0.000, 0.000, 0.500)  2.42
Cr (0.500, 0.500, 0.500)  0.22
Pd (0.000, 0.000, 0.000)  0.29
Pb (0.000, 0.500, 0.000)  0.01

Results
DFT formation energy   161 kJ per mole of atoms
Crystal system   tetragonal
SG   P4/mmm (123)

(6)
A plane-wave DFT calculation with PBE was carried out for an optimized crystal structure of Tm2UWC4.

a b c (Å): 3.419 6.141 12.152
angles (deg): 90.00 90.00 106.17
Last column: magnetic moment on the atom in μB.
Fractional coordinates of all 16 atoms:
Tm (0.370, 0.739, 0.537)  -0.01
Tm (0.630, 0.261, 0.463)  -0.01
Tm (0.630, 0.261, 0.037)  -0.01
Tm (0.370, 0.739, 0.963)  -0.01
C (0.550, 0.100, 0.250)  -0.04
C (0.450, 0.900, 0.750)  -0.04
C (0.000, 0.000, 0.500)  -0.06
C (0.734, 0.468, 0.868)  -0.04
C (0.266, 0.532, 0.368)  -0.04
C (0.000, 0.000, 0.000)  -0.06
C (0.266, 0.532, 0.132)  -0.04
C (0.734, 0.468, 0.632)  -0.04
W (0.153, 0.307, 0.250)  0.08
W (0.847, 0.693, 0.750)  0.08
U (0.112, 0.225, 0.750)  1.81
U (0.888, 0.775, 0.250)  1.81

Results
DFT formation energy   1 kJ per mole of atoms
Crystal system   orthorhombic
SG   Cmcm (63)

(7)
A plane-wave DFT calculation with PBE was carried out for an optimized crystal structure of CaPr3Fe.

a b c (Å): 5.501 5.501 5.501
angles (deg): 90.00 90.00 90.00
Fractional coordinates of all 5 atoms:
Ca (0.500, 0.500, 0.500)
Pr (0.500, 0.000, 0.000)
Pr (0.000, 0.000, 0.500)
Pr (0.000, 0.500, 0.000)
Fe (0.000, 0.000, 0.000)

Results
DFT formation energy   13 kJ per mole of atoms
Crystal system   cubic
SG   Pm-3m (221)

(8)
A plane-wave DFT calculation with PBE was carried out for an optimized crystal structure of SrIn2Au.

a b c (Å): 4.230 4.353 6.592
angles (deg): 70.44 90.00 90.00
Fractional coordinates of all 4 atoms:
In (0.500, 0.208, 0.210)
In (0.000, 0.802, 0.021)
Sr (0.000, 0.532, 0.563)
Au (0.500, 0.958, 0.706)

Results
DFT formation energy   -39 kJ per mole of atoms
Crystal system   monoclinic
SG   Pm (6)

(9)
A plane-wave DFT calculation with PBE was carried out for an optimized crystal structure of BaSmInI6.

a b c (Å): 8.473 8.473 14.799
angles (deg): 90.00 90.00 120.00
Fractional coordinates of all 18 atoms:
I (0.967, 0.630, 0.372)
I (0.663, 0.033, 0.372)
I (0.337, 0.370, 0.872)
I (0.630, 0.663, 0.628)
I (0.630, 0.967, 0.872)
I (0.663, 0.630, 0.128)
I (0.967, 0.337, 0.128)
I (0.370, 0.033, 0.128)
I (0.033, 0.370, 0.628)
I (0.370, 0.337, 0.372)
I (0.033, 0.663, 0.872)
I (0.337, 0.967, 0.628)
Ba (0.333, 0.667, 0.250)
Ba (0.667, 0.333, 0.750)
In (0.000, 0.000, 0.000)
In (0.000, 0.000, 0.500)
Sm (0.667, 0.333, 0.250)
Sm (0.333, 0.667, 0.750)

Results
Crystal system   trigonal
Raw formation energy   -1.31 eV per atom
SG   P-31c (163)

(10)
A plane-wave DFT calculation with PBE was carried out for an optimized crystal structure of RbMg2Ga2.

a b c (Å): 9.070 9.070 3.010
angles (deg): 90.00 90.00 90.00
Fractional coordinates of all 10 atoms:
Mg (0.372, 0.872, 0.000)
Mg (0.872, 0.628, 0.000)
Mg (0.128, 0.372, 0.000)
Mg (0.628, 0.128, 0.000)
Ga (0.160, 0.660, 0.500)
Ga (0.660, 0.840, 0.500)
Ga (0.840, 0.340, 0.500)
Ga (0.340, 0.160, 0.500)
Rb (0.000, 0.000, 0.000)
Rb (0.500, 0.500, 0.000)

Results
DFT formation energy   -1 kJ per mole of atoms
Crystal system   tetragonal
SG   P4/mbm (127)
Energy relative to the lowest polymorph listed for this composition   14 meV per atom

(11)
A plane-wave DFT calculation with PBE was carried out for an optimized crystal structure of YHo3Pt12.

a b c (Å): 4.121 4.121 16.412
angles (deg): 90.00 90.00 90.00
Fractional coordinates of all 16 atoms:
Ho (0.000, 0.000, 0.500)
Ho (0.000, 0.000, 0.749)
Ho (0.000, 0.000, 0.251)
Pt (0.000, 0.500, 0.375)
Pt (0.500, 0.500, 0.251)
Pt (0.500, 0.500, 0.500)
Pt (0.500, 0.500, 0.000)
Pt (0.000, 0.500, 0.126)
Pt (0.000, 0.500, 0.874)
Pt (0.500, 0.000, 0.625)
Pt (0.000, 0.500, 0.625)
Pt (0.500, 0.000, 0.126)
Pt (0.500, 0.000, 0.874)
Pt (0.500, 0.500, 0.749)
Pt (0.500, 0.000, 0.375)
Y (0.000, 0.000, 0.000)

Results
DFT formation energy   -100 kJ per mole of atoms
Crystal system   tetragonal
SG   P4/mmm (123)

(12)
A plane-wave DFT calculation with PBE was carried out for an optimized crystal structure of ZnP2AuO.

a b c (Å): 4.876 4.876 3.534
angles (deg): 90.00 90.00 90.00
Fractional coordinates of all 5 atoms:
P (0.000, 0.500, 0.000)
P (0.500, 0.000, 0.000)
Au (0.500, 0.500, 0.500)
Zn (0.000, 0.000, 0.000)
O (0.000, 0.000, 0.500)

Results
Crystal system   tetragonal
Raw formation energy   0.61 eV per atom
SG   P4/mmm (123)
Energy relative to the lowest polymorph listed for this composition   0 meV per atom